Entry 1:
Entry from Alexandria via LeMat-Bulk: an optimized crystal structure of Pm2Si7Ir12 (PBE).

Values from the calculation:
* formation energy without anion corrections: -0.8254 eV/atom
* theoretical density: 14.3 Mg/m³
* Fermi-level density of states: 7.65 states/eV/cell
* space-group type: P-3 (147)
* VASP energy: -8.149 eV per atom

Cell lengths 9.779, 9.779, 3.916 Å; angles 90.00, 90.00, 120.00 degrees
Positions (direct):
1 Pm 0.333 0.667 0.251
2 Pm 0.667 0.333 0.749
3 Si 0.000 0.000 0.500
4 Si 0.113 0.403 0.752
5 Si 0.290 0.887 0.752
6 Si 0.403 0.290 0.248
7 Si 0.597 0.710 0.752
8 Si 0.710 0.113 0.248
9 Si 0.887 0.597 0.248
10 Ir 0.061 0.619 0.751
11 Ir 0.117 0.855 0.254
12 Ir 0.145 0.261 0.254
13 Ir 0.261 0.117 0.746
14 Ir 0.381 0.442 0.751
15 Ir 0.442 0.061 0.249
16 Ir 0.558 0.939 0.751
17 Ir 0.619 0.558 0.249
18 Ir 0.739 0.883 0.254
19 Ir 0.855 0.739 0.746
20 Ir 0.883 0.145 0.746
21 Ir 0.939 0.381 0.249

Entry 2:
Entry from Alexandria via LeMat-Bulk: an optimized crystal structure of Pm2Si3Ir2 (PBE).

Values from the calculation:
* formation energy without anion corrections: -0.7790 eV/atom
* theoretical density: 9.5 Mg/m³
* Fermi-level density of states: 4.58 states/eV/cell
* space-group type: C2/m (12)
* VASP energy: -6.992 eV per atom

Cell lengths 5.774, 5.774, 6.988 Å; angles 117.47, 117.47, 40.92 degrees
Positions (direct):
1 Pm 0.140 0.140 0.266
2 Pm 0.860 0.860 0.734
3 Si 0.358 0.358 0.067
4 Si 0.500 0.500 0.500
5 Si 0.642 0.642 0.933
6 Ir 0.135 0.135 0.720
7 Ir 0.865 0.865 0.280

Entry 3:
Entry from Alexandria via LeMat-Bulk: an optimized crystal structure of PmSi3Ir5 (PBE).

Values from the calculation:
* formation energy without anion corrections: -0.6747 eV/atom
* theoretical density: 13.1 Mg/m³
* Fermi-level density of states: 10.35 states/eV/cell
* space-group type: Cmcm (63)
* VASP energy: -7.933 eV per atom

Cell lengths 6.492, 6.492, 12.380 Å; angles 90.00, 90.00, 144.77 degrees
Positions (direct):
1 Pm 0.158 0.842 0.750
2 Pm 0.842 0.158 0.250
3 Si 0.122 0.878 0.250
4 Si 0.386 0.614 0.042
5 Si 0.386 0.614 0.458
6 Si 0.614 0.386 0.542
7 Si 0.614 0.386 0.958
8 Si 0.878 0.122 0.750
9 Ir 0.000 0.000 0.000
10 Ir 0.000 0.000 0.500
11 Ir 0.204 0.796 0.074
12 Ir 0.204 0.796 0.426
13 Ir 0.447 0.553 0.646
14 Ir 0.447 0.553 0.854
15 Ir 0.553 0.447 0.146
16 Ir 0.553 0.447 0.354
17 Ir 0.796 0.204 0.574
18 Ir 0.796 0.204 0.926